Compound: ZrV2C
Source: Alexandria
Functional: PBE
Structure: optimized geometry Values from VASP.

Quantum ESPRESSO input file:
```
&SYSTEM
  ibrav = 0, nat = 12, ntyp = 3
/
ATOMIC_SPECIES
Zr 91.22 Zr.upf
V 50.94 V.upf
C 12.01 C.upf
ATOMIC_POSITIONS crystal
Zr 0.000 0.000 0.000
Zr 0.333 0.667 0.667
Zr 0.667 0.333 0.333
V 0.000 0.000 0.119
V 0.000 0.000 0.881
V 0.333 0.667 0.547
V 0.333 0.667 0.786
V 0.667 0.333 0.214
V 0.667 0.333 0.453
C 0.000 0.000 0.500
C 0.333 0.667 0.167
C 0.667 0.333 0.833
CELL_PARAMETERS angstrom
2.963 0.000 0.000
-1.481 2.566 0.000
0.000 0.000 22.918
```

Computed properties:
The density of states at the Fermi level comes out at 13.52 states/eV per cell. The calculation puts the final energy at -9.0359 eV per atom. The energy relative to the elements comes out at -0.0336 eV/atom.